Material: WSN2O
Method: DFT, PBE with a Hubbard U
State: optimized geometry

The structure belongs to space group P4/mmm (No. 123); the cell edges are 3.8675, 3.8675 and 5.0224 Å and the angles 90.00°, 90.00° and 90.00°. The distinct sites, in fractional coordinates, are W at (0.0000, 0.0000, 0.0000), S at (0.0000, 0.0000, 0.5000), N at (0.0000, 0.5000, 0.0000) and O at (0.5000, 0.5000, 0.5000).

Its volume is 15.025 Å³ per atom. For the calculated total energy, the calculation gives -5.503 eV/atom. The total magnetization comes out at 1.641 μB per cell. Its density of states at the Fermi level is 3.62 states/eV per cell.